(1)
KTlVGe2 | Alexandria | PBE-GGA | relaxed; uncorrected energy = -16.0 eV for the cell shown; energy of formation = 1165 meV/atom; symmetry = No. 123
1.0
5.487 0.000 0.000
0.000 5.487 0.000
0.000 0.000 5.328
K Tl V Ge
1 1 1 2
Direct
0.000 0.000 0.000
0.500 0.500 0.500
0.500 0.500 0.000
0.000 0.500 0.500
0.500 0.000 0.500



(2)
La2Sc | Alexandria | PBE-GGA | relaxed; uncorrected energy = -31.9 eV for the cell shown; energy of formation = 73 meV/atom; symmetry = No. 164
1.0
3.563 0.000 0.000
-1.781 3.086 0.000
0.000 0.000 17.626
La Sc
4 2
Direct
0.333 0.667 0.088
0.333 0.667 0.728
0.667 0.333 0.272
0.667 0.333 0.912
0.333 0.667 0.430
0.667 0.333 0.570